Entry 1:
Entry from Alexandria via LeMat-Bulk: a geometry-optimized GePdS structure (PBE).

The calculation puts the theoretical density at 5.3 g cm⁻³. The calculation puts the total energy at -14.74 eV per formula unit. For the spin magnetization, the calculation gives 0.00 μB/f.u. The uncorrected formation energy is -0.8 eV/f.u.

It has space group Cmc2_1 (No. 36), with a = 3.882 Å, b = 16.295 Å, c = 4.203 Å, α = 90.00°, β = 90.00° and γ = 90.00°. Symmetry generates all atoms from Ge at (0.000, 0.196, 0.000), Pd at (0.000, 0.341, 0.831) and S at (0.000, 0.097, 0.621).


Entry 2:
Entry from Alexandria via LeMat-Bulk: a geometry-optimized GePdS structure (PBE).

The calculation puts the theoretical density at 6.8 g cm⁻³. The calculation puts the total energy at -13.99 eV per formula unit. For the spin magnetization, the calculation gives 0.00 μB/f.u. The uncorrected formation energy is -0.1 eV/f.u.

It has space group I4mm (No. 107), with a = 3.572 Å, b = 3.572 Å, c = 8.033 Å, α = 90.00°, β = 90.00° and γ = 90.00°. Symmetry generates all atoms from Ge at (0.000, 0.000, 0.000), Pd at (0.000, 0.000, 0.657) and S at (0.000, 0.000, 0.346).


Entry 3:
Entry from Alexandria via LeMat-Bulk: a geometry-optimized GePdS structure (PBE).

The calculation puts the theoretical density at 6.2 g cm⁻³. The calculation puts the total energy at -14.63 eV per formula unit. For the spin magnetization, the calculation gives 0.00 μB/f.u. The uncorrected formation energy is -0.7 eV/f.u.

It has space group C2 (No. 5), with a = 6.481 Å, b = 4.239 Å, c = 8.201 Å, α = 90.00°, β = 93.85° and γ = 90.00°. Symmetry generates all atoms from Ge at (0.000, 0.000, 0.000), Ge at (0.000, 0.113, 0.500), Pd at (0.143, 0.497, 0.874) and S at (0.144, 0.715, 0.322).


Entry 4:
Entry from Alexandria via LeMat-Bulk: a geometry-optimized GePdS6 structure (PBE).

The calculation puts the theoretical density at 2.8 g cm⁻³. The calculation puts the total energy at -34.74 eV per formula unit. For the spin magnetization, the calculation gives 0.00 μB/f.u. The uncorrected formation energy is -0.2 eV/f.u.

It has space group P-1 (No. 2), with a = 6.325 Å, b = 6.504 Å, c = 6.549 Å, α = 108.24°, β = 102.43° and γ = 112.45°. Symmetry generates all atoms from Ge at (0.000, 0.000, 0.000), Pd at (0.000, 0.500, 0.500), S at (0.160, 0.241, 0.372), S at (0.207, 0.536, 0.862) and S at (0.231, 0.801, 0.130).


Q: What is the formula in the second record?
A: GePdS